First-principles (PBE-GGA) data for crystalline SrH6N2Cl2 at its relaxed geometry, as listed in Alexandria.

Properties
- symmetry = P-1 (2)
- electronic total energy (eV per atom) = -4.81

Lattice parameters (Å, degrees): 4.4145 7.0346 9.2800 138.84 104.26 70.98
With the nearest neighbours (Å) after each atom.
Fractional coordinates of all 11 atoms:
Sr  0.5000  0.0000  0.5000  2 N 2.68, 4 Cl 2.93
H  0.5502  0.6807  0.9270  1 N 1.03
H  0.8185  0.3186  0.0750  1 N 1.03
H  0.2868  0.6879  0.7713  1 N 1.03
H  0.1815  0.6814  0.9250  1 N 1.03
H  0.7132  0.3120  0.2287  1 N 1.03
H  0.4498  0.3193  0.0730  1 N 1.03
N  0.3598  0.5933  0.8238  3 H 1.03
N  0.6402  0.4067  0.1762  3 H 1.03
Cl  0.1086  0.0094  0.7186  3 H 2.51-2.60
Cl  0.8914  0.9906  0.2814  3 H 2.51-2.60